VASP calculation (PBE with a Hubbard U) on a relaxed Cs2NiPdF crystal.

Summary:
Space-group type: P4/mmm
DOS at the Fermi energy (states/eV/f.u.): 0.0
Calculated total energy (eV per atom): -2.5766
Crystal system: tetragonal
Density (g cm⁻³): 4.59

a = 6.1478 Å, b = 4.3108 Å, c = 6.1478 Å
α = 90.00°, β = 90.00°, γ = 90.00°
Fractional coordinates of all 5 atoms:
Cs: 0.0000 0.0000 0.5000
Cs: 0.5000 0.0000 0.0000
F: 0.0000 0.0000 0.0000
Pd: 0.0000 0.5000 0.0000
Ni: 0.5000 0.5000 0.5000